Model w:
DFT (PBE) results for a geometry-optimized NaSc2Bi2 structure.

The density of states at the Fermi level comes out at 4.3 states/eV/f.u. Its total magnetization is 1.38 μB/f.u.

It has space group I4/mmm (No. 139), with a = 4.8521 Å, b = 4.8521 Å, c = 13.7239 Å, α = 90.00°, β = 90.00° and γ = 90.00°. The inequivalent atoms are Na at (0.0000, 0.0000, 0.0000), Sc at (0.0000, 0.0000, 0.3866) and Bi at (0.0000, 0.5000, 0.2500).



Model x:
DFT (PBE) results for a geometry-optimized NaSc2Bi2 structure.

The density of states at the Fermi level comes out at 1.8 states/eV/f.u. Its total magnetization is 1.05 μB/f.u.

It has space group P4/mbm (No. 127), with a = 8.4485 Å, b = 8.4485 Å, c = 3.8098 Å, α = 90.00°, β = 90.00° and γ = 90.00°. The inequivalent atoms are Na at (0.0000, 0.0000, 0.0000), Sc at (0.1362, 0.3638, 0.5000) and Bi at (0.1597, 0.6597, 0.0000).



model x (44.5 kJ/mol of atoms below the next structure)



Model w:
DFT (PBE) results for a geometry-optimized NaSc3Bi structure.

The density of states at the Fermi level comes out at 7.7 states/eV/f.u. Its total magnetization is 0.07 μB/f.u.

It has space group Pm-3m (No. 221), with a = 5.1606 Å, b = 5.1606 Å, c = 5.1606 Å, α = 90.00°, β = 90.00° and γ = 90.00°. The inequivalent atoms are Na at (0.0000, 0.0000, 0.0000), Sc at (0.0000, 0.0000, 0.5000) and Bi at (0.5000, 0.5000, 0.5000).



Model x:
DFT (PBE) results for a geometry-optimized NaSc3Bi structure.

The density of states at the Fermi level comes out at 6.2 states/eV/f.u. Its total magnetization is 3.03 μB/f.u.

It has space group Pm-3m (No. 221), with a = 5.5917 Å, b = 5.5917 Å, c = 5.5917 Å, α = 90.00°, β = 90.00° and γ = 90.00°. The inequivalent atoms are Na at (0.0000, 0.0000, 0.0000), Sc at (0.0000, 0.5000, 0.5000) and Bi at (0.5000, 0.5000, 0.5000).



model x (29.4 kJ/mol of atoms below the next structure)



Model w:
DFT (PBE) results for a geometry-optimized NaBi2Se3 structure.

The density of states at the Fermi level comes out at 0.3 states/eV/f.u. Its total magnetization is 0.00 μB/f.u.

It has space group Cmcm (No. 63), with a = 11.7403 Å, b = 11.7080 Å, c = 7.2220 Å, α = 90.00°, β = 90.00° and γ = 90.00°. The inequivalent atoms are Na at (0.0000, 0.0471, 0.2500), Bi at (0.1826, 0.5000, 0.0000), Se at (0.0000, 0.4113, 0.7500) and Se at (0.1795, 0.1236, 0.7500).



Model x:
DFT (PBE) results for a geometry-optimized NaBi2Se3 structure.

The density of states at the Fermi level comes out at 1.2 states/eV/f.u. Its total magnetization is 0.00 μB/f.u.

It has space group C2/m (No. 12), with a = 16.0222 Å, b = 4.1624 Å, c = 10.8377 Å, α = 90.00°, β = 107.45° and γ = 90.00°. The inequivalent atoms are Na at (0.0000, 0.0000, 0.0000), Na at (0.0000, 0.5000, 0.5000), Bi at (0.1607, 0.0000, 0.8291), Bi at (0.1701, 0.5000, 0.3304), Se at (0.0273, 0.5000, 0.7967), Se at (0.1485, 0.0000, 0.5165) and Se at (0.1965, 0.0000, 0.1219).



model x (22.9 kJ/mol of atoms below the next structure)